[1]
DFT (PBE) results for crystalline CeTe2I4 at its relaxed geometry.

Results
Fermi-level density of states: 6.5 states/eV/f.u.
Raw formation energy: -0.748 eV/atom

```
data_CeTe2I4
_cell_length_a 18.5609
_cell_length_b 4.3947
_cell_length_c 8.8332
_cell_angle_alpha 90.00
_cell_angle_beta 97.76
_cell_angle_gamma 90.00
_symmetry_space_group_name_H-M 'C 1 2/m 1'
_symmetry_Int_Tables_number 12
loop_
_symmetry_equiv_pos_as_xyz
'x,y,z'
'-x,-y,-z'
'-x,y,-z'
'x,-y,z'
'x+1/2,y+1/2,z'
'-x+1/2,-y+1/2,-z'
'-x+1/2,y+1/2,-z'
'x+1/2,-y+1/2,z'
loop_
_atom_site_label
_atom_site_type_symbol
_atom_site_fract_x
_atom_site_fract_y
_atom_site_fract_z
Ce1 Ce 0.0000 0.0000 0.0000
Te1 Te 0.2272 0.5000 0.4014
I1 I 0.0243 0.5000 0.7597
I2 I 0.1634 0.0000 0.1087
```

=====

[2]
DFT (PBE) results for crystalline CeTeI at its relaxed geometry.

Results
Fermi-level density of states: 8.4 states/eV/f.u.
Raw formation energy: -1.203 eV/atom
Polymorph energy (0 for the lowest one): 40 kJ/mol of formula units

```
data_CeTeI
_cell_length_a 7.6944
_cell_length_b 7.6944
_cell_length_c 7.6944
_cell_angle_alpha 90.00
_cell_angle_beta 90.00
_cell_angle_gamma 90.00
_symmetry_space_group_name_H-M 'F -4 3 m'
_symmetry_Int_Tables_number 216
_symmetry_space_group_name_Hall 'F -4 2 3'
loop_
_atom_site_label
_atom_site_type_symbol
_atom_site_fract_x
_atom_site_fract_y
_atom_site_fract_z
Ce1 Ce 0.0000 0.0000 0.0000
Te1 Te 0.2500 0.2500 0.2500
I1 I 0.2500 0.2500 0.7500
```

=====

[3]
DFT (PBE) results for crystalline Ce2ThI at its relaxed geometry.

Results
Fermi-level density of states: 11.9 states/eV/f.u.
Raw formation energy: -0.251 eV/atom

```
data_Ce2ThI
_cell_length_a 3.6238
_cell_length_b 3.6238
_cell_length_c 9.4184
_cell_angle_alpha 90.00
_cell_angle_beta 90.00
_cell_angle_gamma 90.00
_symmetry_space_group_name_H-M 'P 4/m m m'
_symmetry_Int_Tables_number 123
_symmetry_space_group_name_Hall '-P 4 2'
loop_
_atom_site_label
_atom_site_type_symbol
_atom_site_fract_x
_atom_site_fract_y
_atom_site_fract_z
Ce1 Ce 0.0000 0.0000 0.2488
Th1 Th 0.5000 0.5000 0.5000
I1 I 0.5000 0.5000 0.0000
```

=====

[4]
DFT (PBE) results for crystalline CeThI5 at its relaxed geometry.

Results
Fermi-level density of states: 9.5 states/eV/f.u.
Raw formation energy: -1.167 eV/atom

```
data_CeThI5
_cell_length_a 9.6130
_cell_length_b 4.1234
_cell_length_c 15.1806
_cell_angle_alpha 90.00
_cell_angle_beta 95.53
_cell_angle_gamma 90.00
_symmetry_space_group_name_H-M 'P 1 21/m 1'
_symmetry_Int_Tables_number 11
loop_
_symmetry_equiv_pos_as_xyz
'x,y,z'
'-x,-y,-z'
'-x,y+1/2,-z'
'x,-y+1/2,z'
loop_
_atom_site_label
_atom_site_type_symbol
_atom_site_fract_x
_atom_site_fract_y
_atom_site_fract_z
Ce1 Ce 0.0752 0.2500 0.1584
Th1 Th 0.3838 0.7500 0.3596
I1 I 0.1362 0.2500 0.3764
I2 I 0.1486 0.2500 0.7847
I3 I 0.1818 0.7500 0.0169
I4 I 0.3625 0.7500 0.5747
I5 I 0.4201 0.2500 0.2013
```

=====

[5]
DFT (PBE) results for crystalline CeTiI2 at its relaxed geometry.

Results
Fermi-level density of states: 8.3 states/eV/f.u.
Raw formation energy: -0.202 eV/atom

```
data_CeTiI2
_cell_length_a 3.6295
_cell_length_b 3.6295
_cell_length_c 30.8658
_cell_angle_alpha 90.00
_cell_angle_beta 90.00
_cell_angle_gamma 120.00
_symmetry_space_group_name_H-M 'R -3 m'
_symmetry_Int_Tables_number 166
_symmetry_space_group_name_Hall '-R 3 2"'
loop_
_atom_site_label
_atom_site_type_symbol
_atom_site_fract_x
_atom_site_fract_y
_atom_site_fract_z
Ce1 Ce 0.0000 0.0000 0.0000
Ti1 Ti 0.0000 0.0000 0.5000
I1 I 0.0000 0.0000 0.1053
```

=====

[6]
DFT (PBE) results for crystalline CeTlI4 at its relaxed geometry.

Results
Fermi-level density of states: 6.1 states/eV/f.u.
Raw formation energy: -1.083 eV/atom
Polymorph energy (0 for the lowest one): 18 kJ/mol of formula units

```
data_CeTlI4
_cell_length_a 10.4618
_cell_length_b 15.1064
_cell_length_c 7.6686
_cell_angle_alpha 90.00
_cell_angle_beta 122.25
_cell_angle_gamma 90.00
_symmetry_space_group_name_H-M 'C 1 2/c 1'
_symmetry_Int_Tables_number 15
loop_
_symmetry_equiv_pos_as_xyz
'x,y,z'
'-x,-y,-z'
'-x,y,-z+1/2'
'x,-y,z+1/2'
'x+1/2,y+1/2,z'
'-x+1/2,-y+1/2,-z'
'-x+1/2,y+1/2,-z+1/2'
'x+1/2,-y+1/2,z+1/2'
loop_
_atom_site_label
_atom_site_type_symbol
_atom_site_fract_x
_atom_site_fract_y
_atom_site_fract_z
Ce1 Ce 0.0000 0.9996 0.2500
Tl1 Tl 0.0000 0.3691 0.2500
I1 I 0.1088 0.1651 0.5768
I2 I 0.2174 0.4356 0.7932
```

=====

[7]
DFT (PBE) results for crystalline CeTl2I7 at its relaxed geometry.

Results
Fermi-level density of states: 5.2 states/eV/f.u.
Raw formation energy: -0.768 eV/atom

```
data_CeTl2I7
_cell_length_a 18.1282
_cell_length_b 8.7070
_cell_length_c 14.6455
_cell_angle_alpha 90.00
_cell_angle_beta 127.30
_cell_angle_gamma 90.00
_symmetry_space_group_name_H-M 'C 1 2/c 1'
_symmetry_Int_Tables_number 15
loop_
_symmetry_equiv_pos_as_xyz
'x,y,z'
'-x,-y,-z'
'-x,y,-z+1/2'
'x,-y,z+1/2'
'x+1/2,y+1/2,z'
'-x+1/2,-y+1/2,-z'
'-x+1/2,y+1/2,-z+1/2'
'x+1/2,-y+1/2,z+1/2'
loop_
_atom_site_label
_atom_site_type_symbol
_atom_site_fract_x
_atom_site_fract_y
_atom_site_fract_z
Ce1 Ce 0.0000 0.1944 0.2500
Tl1 Tl 0.1452 0.1931 0.0827
I1 I 0.0000 0.1712 0.7500
I2 I 0.0780 0.1892 0.5025
I3 I 0.1224 0.4593 0.2744
I4 I 0.1888 0.0396 0.3257
```

=====

[8]
DFT (PBE) results for crystalline Ce3TlI8 at its relaxed geometry.

Results
Fermi-level density of states: 26.7 states/eV/f.u.
Raw formation energy: -1.156 eV/atom

```
data_Ce3TlI8
_cell_length_a 16.1015
_cell_length_b 9.3005
_cell_length_c 9.4588
_cell_angle_alpha 90.00
_cell_angle_beta 125.25
_cell_angle_gamma 90.00
_symmetry_space_group_name_H-M 'C 1 2/m 1'
_symmetry_Int_Tables_number 12
loop_
_symmetry_equiv_pos_as_xyz
'x,y,z'
'-x,-y,-z'
'-x,y,-z'
'x,-y,z'
'x+1/2,y+1/2,z'
'-x+1/2,-y+1/2,-z'
'-x+1/2,y+1/2,-z'
'x+1/2,-y+1/2,z'
loop_
_atom_site_label
_atom_site_type_symbol
_atom_site_fract_x
_atom_site_fract_y
_atom_site_fract_z
Ce1 Ce 0.0000 0.0000 0.0000
Ce2 Ce 0.2500 0.2500 0.0000
Tl1 Tl 0.0000 0.5000 0.0000
I1 I 0.0056 0.2336 0.7545
I2 I 0.2390 0.0000 0.7546
I3 I 0.2483 0.0000 0.2405
```

=====

[9]
DFT (PBE) results for crystalline CeTl2I5 at its relaxed geometry.

Results
Fermi-level density of states: 8.4 states/eV/f.u.
Raw formation energy: -1.013 eV/atom

```
data_CeTl2I5
_cell_length_a 14.4948
_cell_length_b 9.8571
_cell_length_c 9.2372
_cell_angle_alpha 90.00
_cell_angle_beta 90.00
_cell_angle_gamma 90.00
_symmetry_space_group_name_H-M 'P n m a'
_symmetry_Int_Tables_number 62
loop_
_symmetry_equiv_pos_as_xyz
'x,y,z'
'-x,-y,-z'
'-x+1/2,-y,z+1/2'
'x+1/2,y,-z+1/2'
'x+1/2,-y+1/2,-z+1/2'
'-x+1/2,y+1/2,z+1/2'
'-x,y+1/2,-z'
'x,-y+1/2,z'
loop_
_atom_site_label
_atom_site_type_symbol
_atom_site_fract_x
_atom_site_fract_y
_atom_site_fract_z
Ce1 Ce 0.0045 0.2500 0.0799
Tl1 Tl 0.1761 0.5023 0.5475
I1 I 0.0061 0.2500 0.4330
I2 I 0.0809 0.5455 0.1666
I3 I 0.1814 0.2500 0.8701
I4 I 0.2092 0.7500 0.8324
```

=====

[10]
DFT (PBE) results for crystalline CeTlI6 at its relaxed geometry.

Results
Fermi-level density of states: 4.5 states/eV/f.u.
Raw formation energy: -0.800 eV/atom
Polymorph energy (0 for the lowest one): 0 kJ/mol of formula units

```
data_CeTlI6
_cell_length_a 7.7317
_cell_length_b 13.8620
_cell_length_c 7.7250
_cell_angle_alpha 90.00
_cell_angle_beta 109.68
_cell_angle_gamma 90.00
_symmetry_space_group_name_H-M 'C 1 2/m 1'
_symmetry_Int_Tables_number 12
loop_
_symmetry_equiv_pos_as_xyz
'x,y,z'
'-x,-y,-z'
'-x,y,-z'
'x,-y,z'
'x+1/2,y+1/2,z'
'-x+1/2,-y+1/2,-z'
'-x+1/2,y+1/2,-z'
'x+1/2,-y+1/2,z'
loop_
_atom_site_label
_atom_site_type_symbol
_atom_site_fract_x
_atom_site_fract_y
_atom_site_fract_z
Ce1 Ce 0.0000 0.0000 0.0000
Tl1 Tl 0.0000 0.5000 0.5000
I1 I 0.2375 0.0000 0.7648
I2 I 0.2389 0.1581 0.2407
```

=====

[11]
DFT (PBE) results for crystalline CeTl6I12 at its relaxed geometry.

Results
Fermi-level density of states: 18.0 states/eV/f.u.
Raw formation energy: -0.649 eV/atom

```
data_CeTl6I12
_cell_length_a 14.8453
_cell_length_b 14.8453
_cell_length_c 14.1777
_cell_angle_alpha 90.00
_cell_angle_beta 90.00
_cell_angle_gamma 120.00
_symmetry_space_group_name_H-M 'R -3'
_symmetry_Int_Tables_number 148
_symmetry_space_group_name_Hall '-R 3'
loop_
_atom_site_label
_atom_site_type_symbol
_atom_site_fract_x
_atom_site_fract_y
_atom_site_fract_z
Ce1 Ce 0.0000 0.0000 0.0000
Tl1 Tl 0.0605 0.2727 0.6260
I1 I 0.0421 0.2297 0.3829
I2 I 0.0507 0.1886 0.8794
```

=====

[12]
DFT (PBE) results for crystalline CeTlI4 at its relaxed geometry.

Results
Fermi-level density of states: 7.9 states/eV/f.u.
Raw formation energy: -1.113 eV/atom
Polymorph energy (0 for the lowest one): 0 kJ/mol of formula units

```
data_CeTlI4
_cell_length_a 14.9911
_cell_length_b 4.7305
_cell_length_c 8.7765
_cell_angle_alpha 90.00
_cell_angle_beta 101.07
_cell_angle_gamma 90.00
_symmetry_space_group_name_H-M 'C 1 2/m 1'
_symmetry_Int_Tables_number 12
loop_
_symmetry_equiv_pos_as_xyz
'x,y,z'
'-x,-y,-z'
'-x,y,-z'
'x,-y,z'
'x+1/2,y+1/2,z'
'-x+1/2,-y+1/2,-z'
'-x+1/2,y+1/2,-z'
'x+1/2,-y+1/2,z'
loop_
_atom_site_label
_atom_site_type_symbol
_atom_site_fract_x
_atom_site_fract_y
_atom_site_fract_z
Ce1 Ce 0.0000 0.0000 0.0000
Tl1 Tl 0.0000 0.5000 0.5000
I1 I 0.1198 0.5000 0.8951
I2 I 0.1219 0.0000 0.3273
```

=====

Which total magnetic moment belongs to each record? In order, 0.703, 1.000, 2.237, 1.569, 1.109, 1.000, 0.159, 5.017, 1.000, 0.000, 0.637, 1.000 μB per formula unit.